# 1
Density functional theory data (GGA-PBEsol) for YTlSi4 after structural relaxation.

Lattice parameters (Å, degrees): 5.322 5.322 5.322 60.00 60.00 60.00
Fractional coordinates of all 6 atoms:
1 Si 0.376 0.873 0.376
2 Si 0.376 0.376 0.376
3 Si 0.376 0.376 0.873
4 Si 0.873 0.376 0.376
5 Tl 0.750 0.750 0.750
6 Y 0.000 0.000 0.000

---

# 2
Density functional theory data (GGA-PBEsol) for YTlSi after structural relaxation.

Lattice parameters (Å, degrees): 4.237 4.237 4.537 90.00 90.00 120.00
Fractional coordinates of all 3 atoms:
1 Y 0.667 0.333 0.300
2 Tl 0.333 0.667 0.725
3 Si 0.000 0.000 0.975

---

# 3
Density functional theory data (GGA-PBEsol) for Y2TlSi after structural relaxation.

Lattice parameters (Å, degrees): 3.301 3.301 8.487 90.00 90.00 90.00
Fractional coordinates of all 4 atoms:
1 Tl 0.500 0.500 0.500
2 Si 0.500 0.500 0.000
3 Y 0.000 0.000 0.220
4 Y 0.000 0.000 0.780

---

Asked for D(E_F) across the records above, the calculation gives 0.489; 0.103; 1.027 states/eV per atom in order.
Asked for uncorrected formation energy across the records above, the calculation gives -0.098; -0.331; -0.511 eV per atom in order.